(1)
A geometry-optimized Zn2HgRh structure, computed with PBE-GGA.

Structure (CIF):
```
data_Zn2HgRh
_cell_length_a 3.718
_cell_length_b 3.917
_cell_length_c 8.750
_cell_angle_alpha 90.00
_cell_angle_beta 90.00
_cell_angle_gamma 90.00
_space_group_name_H-M_alt 'I m m 2'
_space_group_IT_number 44
_space_group_name_Hall 'I 2 -2'
loop_
_atom_site_label
_atom_site_type_symbol
_atom_site_fract_x
_atom_site_fract_y
_atom_site_fract_z
_atom_site_occupancy
Zn1 Zn 0.000 0.000 0.000 1
Zn2 Zn 0.000 0.500 0.247 1
Hg1 Hg 0.000 0.500 0.756 1
Rh1 Rh 0.000 0.000 0.509 1
```

***

(2)
A geometry-optimized ZnHgRh2 structure, computed with PBE-GGA.

Structure (CIF):
```
data_ZnHgRh2
_cell_length_a 2.9281
_cell_length_b 2.9281
_cell_length_c 25.7186
_cell_angle_alpha 90.00
_cell_angle_beta 90.00
_cell_angle_gamma 120.00
_space_group_name_H-M_alt 'R -3 m'
_space_group_IT_number 166
_space_group_name_Hall '-R 3 2"'
loop_
_atom_site_label
_atom_site_type_symbol
_atom_site_fract_x
_atom_site_fract_y
_atom_site_fract_z
_atom_site_occupancy
Zn1 Zn 0.0000 0.0000 0.0000 1
Hg1 Hg 0.0000 0.0000 0.5000 1
Rh1 Rh 0.0000 0.0000 0.2563 1
```

***

Let's list total magnetic moment in order: 0.0 1.3 Bohr magnetons per cell.
Let's list E in order: -21.28 -48.68 eV/cell.